No. 1
BRh2S | GGA-PBE | optimized geometry

a b c (Å): 4.086 4.086 4.086
angles (deg): 60.00 60.00 60.00
Fractional positions:
Rh  0.750  0.750  0.750
Rh  0.250  0.250  0.250
B  0.000  0.000  0.000
S  0.500  0.500  0.500

formation energy (no corrections) = 0.40 eV per atom
polymorph energy (0 for the lowest one) = 531 meV/atom

=====

No. 2
B2RhS | GGA-PBE | optimized geometry

a b c (Å): 4.801 4.801 5.425
angles (deg): 63.74 63.74 90.00
Fractional positions:
Rh  0.750  0.250  0.500
Rh  0.000  0.000  0.000
B  0.604  0.125  0.250
B  0.146  0.625  0.250
B  0.375  0.396  0.750
B  0.875  0.854  0.750
S  0.500  0.500  0.000
S  0.250  0.750  0.500

formation energy (no corrections) = 0.19 eV per atom
polymorph energy (0 for the lowest one) = 0 meV/atom

=====

No. 3
SiBRhS | GGA-PBE | optimized geometry

a b c (Å): 2.922 3.044 6.871
angles (deg): 77.32 90.00 89.99
Fractional positions:
B  0.452  0.321  0.931
Rh  0.952  0.058  0.454
S  0.952  0.243  0.086
Si  0.452  0.469  0.635

formation energy (no corrections) = -0.28 eV per atom
polymorph energy (0 for the lowest one) = 0 meV/atom

=====

No. 4
SiBRhS | GGA-PBE | optimized geometry

a b c (Å): 3.117 3.117 18.825
angles (deg): 90.00 90.00 120.00
Fractional positions:
Si  0.333  0.667  0.086
Si  0.667  0.333  0.753
Si  0.000  0.000  0.420
S  0.667  0.333  0.499
S  0.000  0.000  0.165
S  0.333  0.667  0.832
Rh  0.667  0.333  0.994
Rh  0.000  0.000  0.660
Rh  0.333  0.667  0.327
B  0.000  0.000  0.262
B  0.667  0.333  0.596
B  0.333  0.667  0.929

formation energy (no corrections) = -0.12 eV per atom
polymorph energy (0 for the lowest one) = 161 meV/atom